[1]
A plane-wave DFT calculation with PBE was carried out for an optimized crystal structure of K2Ac2IrO6.

Lattice parameters (Å, degrees): 6.213 6.213 6.617 96.35 96.35 119.18
Fractional positions:
K 0.144 0.856 0.000
K 0.856 0.144 0.000
Ac 0.338 0.662 0.500
Ac 0.662 0.338 0.500
Ir 0.000 0.000 0.500
O 0.034 0.329 0.669
O 0.231 0.231 0.316
O 0.329 0.034 0.669
O 0.671 0.966 0.331
O 0.769 0.769 0.684
O 0.966 0.671 0.331

## Properties
Formation energy without anion corrections (eV per atom): -1.977
N(E_F) (states/eV/f.u.): 7.643
Total DFT energy (no corrections) (eV per atom): -6.434

***

[2]
A plane-wave DFT calculation with PBE was carried out for an optimized crystal structure of KAcIrO6.

Lattice parameters (Å, degrees): 5.940 5.940 5.595 90.00 90.00 120.00
Fractional positions:
K 0.000 0.000 0.000
Ac 0.333 0.667 0.500
Ir 0.667 0.333 0.500
O 0.407 0.066 0.693
O 0.407 0.341 0.307
O 0.659 0.066 0.307
O 0.659 0.593 0.693
O 0.934 0.341 0.693
O 0.934 0.593 0.307

## Properties
Formation energy without anion corrections (eV per atom): -1.445
N(E_F) (states/eV/f.u.): 5.078
Total DFT energy (no corrections) (eV per atom): -6.313

***

[3]
A plane-wave DFT calculation with PBE was carried out for an optimized crystal structure of Ac5LaIr4.

Lattice parameters (Å, degrees): 9.572 9.572 8.472 104.62 104.62 26.36
Fractional positions:
Ac 0.000 0.000 0.000
Ac 0.334 0.334 0.644
Ac 0.339 0.339 0.172
Ac 0.661 0.661 0.828
Ac 0.666 0.666 0.356
La 0.000 0.000 0.500
Ir 0.171 0.171 0.605
Ir 0.499 0.499 0.754
Ir 0.501 0.501 0.246
Ir 0.829 0.829 0.395

## Properties
N(E_F) (states/eV/f.u.): 5.714
Formation enthalpy at 0 K (eV/atom): -0.590
Total DFT energy (no corrections) (eV per atom): -6.682